[1]
Entry from the Alexandria database: La2Al2Tc2C after structural relaxation (PBE).

```
data_La2Al2Tc2C
_cell_length_a 6.133
_cell_length_b 6.133
_cell_length_c 7.845
_cell_angle_alpha 124.52
_cell_angle_beta 124.52
_cell_angle_gamma 36.48
_symmetry_space_group_name_H-M 'P 1'
_symmetry_Int_Tables_number 1
loop_
_symmetry_equiv_pos_as_xyz
'x,y,z'
loop_
_atom_site_label
_atom_site_type_symbol
_atom_site_fract_x
_atom_site_fract_y
_atom_site_fract_z
_atom_site_occupancy
La1 La 0.074 0.074 0.290 1
La2 La 0.926 0.926 0.710 1
Al1 Al 0.360 0.360 0.313 1
Al2 Al 0.640 0.640 0.687 1
Tc1 Tc 0.309 0.309 0.937 1
Tc2 Tc 0.691 0.691 0.063 1
C1 C 0.500 0.500 0.000 1
```

Output
ΔE_f (eV/atom): -0.324

=====

[2]
Entry from the Alexandria database: LaAlTcC after structural relaxation (PBE).

```
data_LaAlTcC
_cell_length_a 3.093
_cell_length_b 6.322
_cell_length_c 6.322
_cell_angle_alpha 35.25
_cell_angle_beta 90.00
_cell_angle_gamma 90.00
_symmetry_space_group_name_H-M 'P 1'
_symmetry_Int_Tables_number 1
loop_
_symmetry_equiv_pos_as_xyz
'x,y,z'
loop_
_atom_site_label
_atom_site_type_symbol
_atom_site_fract_x
_atom_site_fract_y
_atom_site_fract_z
_atom_site_occupancy
La1 La 0.000 0.000 0.000 1
Al1 Al 0.500 0.719 0.719 1
Tc1 Tc 0.000 0.289 0.289 1
C1 C 0.500 0.403 0.403 1
```

Output
ΔE_f (eV/atom): 0.008

=====

[3]
Entry from the Alexandria database: LaAlTlC2 after structural relaxation (PBE).

```
data_LaAlTlC2
_cell_length_a 4.582
_cell_length_b 4.582
_cell_length_c 6.337
_cell_angle_alpha 90.00
_cell_angle_beta 90.00
_cell_angle_gamma 90.00
_symmetry_space_group_name_H-M 'P 1'
_symmetry_Int_Tables_number 1
loop_
_symmetry_equiv_pos_as_xyz
'x,y,z'
loop_
_atom_site_label
_atom_site_type_symbol
_atom_site_fract_x
_atom_site_fract_y
_atom_site_fract_z
_atom_site_occupancy
La1 La 0.000 0.000 0.000 1
Al1 Al 0.500 0.500 0.500 1
Tl1 Tl 0.000 0.000 0.500 1
C1 C 0.000 0.500 0.000 1
C2 C 0.500 0.000 0.000 1
```

Output
ΔE_f (eV/atom): 1.979

=====

[4]
Entry from the Alexandria database: Li3AlC after structural relaxation (PBE).

```
data_Li3AlC
_cell_length_a 4.755
_cell_length_b 4.755
_cell_length_c 4.755
_cell_angle_alpha 90.00
_cell_angle_beta 90.00
_cell_angle_gamma 90.00
_symmetry_space_group_name_H-M 'P 1'
_symmetry_Int_Tables_number 1
loop_
_symmetry_equiv_pos_as_xyz
'x,y,z'
loop_
_atom_site_label
_atom_site_type_symbol
_atom_site_fract_x
_atom_site_fract_y
_atom_site_fract_z
_atom_site_occupancy
Li1 Li 0.000 0.000 0.500 1
Li2 Li 0.000 0.500 0.000 1
Li3 Li 0.500 0.000 0.000 1
Al1 Al 0.000 0.000 0.000 1
C1 C 0.500 0.500 0.500 1
```

Output
Distance to the lowest polymorph of the same formula (meV/atom): 1145
ΔE_f (eV/atom): 1.632

=====

[5]
Entry from the Alexandria database: LiAlC3 after structural relaxation (PBE).

```
data_LiAlC3
_cell_length_a 3.612
_cell_length_b 3.612
_cell_length_c 3.612
_cell_angle_alpha 90.00
_cell_angle_beta 90.00
_cell_angle_gamma 90.00
_symmetry_space_group_name_H-M 'P 1'
_symmetry_Int_Tables_number 1
loop_
_symmetry_equiv_pos_as_xyz
'x,y,z'
loop_
_atom_site_label
_atom_site_type_symbol
_atom_site_fract_x
_atom_site_fract_y
_atom_site_fract_z
_atom_site_occupancy
Li1 Li 0.000 0.000 0.000 1
Al1 Al 0.500 0.500 0.500 1
C1 C 0.000 0.000 0.500 1
C2 C 0.000 0.500 0.000 1
C3 C 0.500 0.000 0.000 1
```

Output
Distance to the lowest polymorph of the same formula (meV/atom): 525
ΔE_f (eV/atom): 2.561

=====

[6]
Entry from the Alexandria database: LiAlC2 after structural relaxation (PBE).

```
data_LiAlC2
_cell_length_a 7.094
_cell_length_b 7.094
_cell_length_c 7.094
_cell_angle_alpha 147.22
_cell_angle_beta 147.22
_cell_angle_gamma 47.04
_symmetry_space_group_name_H-M 'P 1'
_symmetry_Int_Tables_number 1
loop_
_symmetry_equiv_pos_as_xyz
'x,y,z'
loop_
_atom_site_label
_atom_site_type_symbol
_atom_site_fract_x
_atom_site_fract_y
_atom_site_fract_z
_atom_site_occupancy
Li1 Li 0.375 0.625 0.750 1
Li2 Li 0.625 0.375 0.250 1
Al1 Al 0.125 0.875 0.250 1
Al2 Al 0.875 0.125 0.750 1
C1 C 0.000 0.000 0.000 1
C2 C 0.000 0.000 0.500 1
C3 C 0.000 0.500 0.000 1
C4 C 0.500 0.000 0.500 1
```

Output
ΔE_f (eV/atom): 1.104

=====

[7]
Entry from the Alexandria database: Li3AlC after structural relaxation (PBE).

```
data_Li3AlC
_cell_length_a 4.093
_cell_length_b 4.093
_cell_length_c 4.093
_cell_angle_alpha 90.00
_cell_angle_beta 90.00
_cell_angle_gamma 90.00
_symmetry_space_group_name_H-M 'P 1'
_symmetry_Int_Tables_number 1
loop_
_symmetry_equiv_pos_as_xyz
'x,y,z'
loop_
_atom_site_label
_atom_site_type_symbol
_atom_site_fract_x
_atom_site_fract_y
_atom_site_fract_z
_atom_site_occupancy
Li1 Li 0.000 0.000 0.500 1
Li2 Li 0.000 0.500 0.000 1
Li3 Li 0.500 0.000 0.000 1
Al1 Al 0.500 0.500 0.500 1
C1 C 0.000 0.000 0.000 1
```

Output
Distance to the lowest polymorph of the same formula (meV/atom): 0
ΔE_f (eV/atom): 0.487

=====

[8]
Entry from the Alexandria database: Li2AlC2 after structural relaxation (PBE).

```
data_Li2AlC2
_cell_length_a 5.215
_cell_length_b 5.215
_cell_length_c 3.568
_cell_angle_alpha 90.00
_cell_angle_beta 90.00
_cell_angle_gamma 90.00
_symmetry_space_group_name_H-M 'P 1'
_symmetry_Int_Tables_number 1
loop_
_symmetry_equiv_pos_as_xyz
'x,y,z'
loop_
_atom_site_label
_atom_site_type_symbol
_atom_site_fract_x
_atom_site_fract_y
_atom_site_fract_z
_atom_site_occupancy
Li1 Li 0.169 0.331 0.000 1
Li2 Li 0.331 0.831 0.000 1
Li3 Li 0.669 0.169 0.000 1
Li4 Li 0.831 0.669 0.000 1
Al1 Al 0.000 0.000 0.500 1
Al2 Al 0.500 0.500 0.500 1
C1 C 0.094 0.594 0.500 1
C2 C 0.406 0.094 0.500 1
C3 C 0.594 0.906 0.500 1
C4 C 0.906 0.406 0.500 1
```

Output
ΔE_f (eV/atom): 0.091

=====

[9]
Entry from the Alexandria database: LiAlC3 after structural relaxation (PBE).

```
data_LiAlC3
_cell_length_a 3.933
_cell_length_b 3.933
_cell_length_c 3.933
_cell_angle_alpha 90.00
_cell_angle_beta 90.00
_cell_angle_gamma 90.00
_symmetry_space_group_name_H-M 'P 1'
_symmetry_Int_Tables_number 1
loop_
_symmetry_equiv_pos_as_xyz
'x,y,z'
loop_
_atom_site_label
_atom_site_type_symbol
_atom_site_fract_x
_atom_site_fract_y
_atom_site_fract_z
_atom_site_occupancy
Li1 Li 0.000 0.000 0.000 1
Al1 Al 0.500 0.500 0.500 1
C1 C 0.000 0.500 0.500 1
C2 C 0.500 0.000 0.500 1
C3 C 0.500 0.500 0.000 1
```

Output
Distance to the lowest polymorph of the same formula (meV/atom): 0
ΔE_f (eV/atom): 2.036

=====

[10]
Entry from the Alexandria database: LiAlC2N4 after structural relaxation (PBE).

```
data_LiAlC2N4
_cell_length_a 9.221
_cell_length_b 6.494
_cell_length_c 5.441
_cell_angle_alpha 90.00
_cell_angle_beta 90.00
_cell_angle_gamma 90.00
_symmetry_space_group_name_H-M 'P 1'
_symmetry_Int_Tables_number 1
loop_
_symmetry_equiv_pos_as_xyz
'x,y,z'
loop_
_atom_site_label
_atom_site_type_symbol
_atom_site_fract_x
_atom_site_fract_y
_atom_site_fract_z
_atom_site_occupancy
Li1 Li 0.000 0.118 0.250 1
Li2 Li 0.000 0.882 0.750 1
Li3 Li 0.500 0.382 0.750 1
Li4 Li 0.500 0.618 0.250 1
Al1 Al 0.000 0.379 0.750 1
Al2 Al 0.000 0.621 0.250 1
Al3 Al 0.500 0.121 0.250 1
Al4 Al 0.500 0.879 0.750 1
C1 C 0.247 0.369 0.088 1
C2 C 0.247 0.631 0.588 1
C3 C 0.253 0.131 0.588 1
C4 C 0.253 0.869 0.088 1
C5 C 0.747 0.131 0.912 1
C6 C 0.747 0.869 0.412 1
C7 C 0.753 0.369 0.412 1
C8 C 0.753 0.631 0.912 1
N1 N 0.114 0.400 0.065 1
N2 N 0.114 0.600 0.565 1
N3 N 0.124 0.157 0.608 1
N4 N 0.124 0.843 0.108 1
N5 N 0.376 0.343 0.108 1
N6 N 0.376 0.657 0.608 1
N7 N 0.386 0.100 0.565 1
N8 N 0.386 0.900 0.065 1
N9 N 0.614 0.100 0.935 1
N10 N 0.614 0.900 0.435 1
N11 N 0.624 0.343 0.392 1
N12 N 0.624 0.657 0.892 1
N13 N 0.876 0.157 0.892 1
N14 N 0.876 0.843 0.392 1
N15 N 0.886 0.400 0.435 1
N16 N 0.886 0.600 0.935 1
```

Output
Energy relative to the elements, uncorrected (meV per atom): -540

=====

[11]
Entry from the Alexandria database: Li2AlNiC after structural relaxation (PBE).

```
data_Li2AlNiC
_cell_length_a 4.132
_cell_length_b 4.132
_cell_length_c 3.585
_cell_angle_alpha 90.00
_cell_angle_beta 90.00
_cell_angle_gamma 90.00
_symmetry_space_group_name_H-M 'P 1'
_symmetry_Int_Tables_number 1
loop_
_symmetry_equiv_pos_as_xyz
'x,y,z'
loop_
_atom_site_label
_atom_site_type_symbol
_atom_site_fract_x
_atom_site_fract_y
_atom_site_fract_z
_atom_site_occupancy
Li1 Li 0.000 0.500 0.000 1
Li2 Li 0.500 0.000 0.000 1
Al1 Al 0.000 0.000 0.500 1
Ni1 Ni 0.500 0.500 0.500 1
C1 C 0.500 0.500 0.000 1
```

Output
ΔE_f (eV/atom): 0.147

=====

[12]
Entry from the Alexandria database: LiAl2CO after structural relaxation (PBE).

```
data_LiAl2CO
_cell_length_a 3.878
_cell_length_b 3.878
_cell_length_c 4.295
_cell_angle_alpha 90.00
_cell_angle_beta 90.00
_cell_angle_gamma 90.00
_symmetry_space_group_name_H-M 'P 1'
_symmetry_Int_Tables_number 1
loop_
_symmetry_equiv_pos_as_xyz
'x,y,z'
loop_
_atom_site_label
_atom_site_type_symbol
_atom_site_fract_x
_atom_site_fract_y
_atom_site_fract_z
_atom_site_occupancy
Li1 Li 0.000 0.000 0.000 1
Al1 Al 0.000 0.500 0.500 1
Al2 Al 0.500 0.000 0.500 1
C1 C 0.500 0.500 0.000 1
O1 O 0.500 0.500 0.500 1
```

Output
Energy relative to the elements, uncorrected (meV per atom): 526